(1)
# ThTaNi, optimized geometry, DFT PBE
data_ThTaNi
_cell_length_a 6.4279
_cell_length_b 6.4279
_cell_length_c 6.4279
_cell_angle_alpha 90.00
_cell_angle_beta 90.00
_cell_angle_gamma 90.00
_space_group_name_H-M_alt 'F -4 3 m'
_space_group_IT_number 216
_space_group_name_Hall 'F -4 2 3'
loop_
_atom_site_label
_atom_site_type_symbol
_atom_site_fract_x
_atom_site_fract_y
_atom_site_fract_z
_atom_site_occupancy
Th1 Th 0.0000 0.0000 0.0000 1
Ta1 Ta 0.0000 0.0000 0.5000 1
Ni1 Ni 0.2500 0.2500 0.2500 1
# * ΔH_f (0 K): 0.3827 eV/atom

(2)
# TaTl2Ni, optimized geometry, DFT PBE
data_TaTl2Ni
_cell_length_a 6.8094
_cell_length_b 6.8094
_cell_length_c 6.8094
_cell_angle_alpha 90.00
_cell_angle_beta 90.00
_cell_angle_gamma 90.00
_space_group_name_H-M_alt 'F -4 3 m'
_space_group_IT_number 216
_space_group_name_Hall 'F -4 2 3'
loop_
_atom_site_label
_atom_site_type_symbol
_atom_site_fract_x
_atom_site_fract_y
_atom_site_fract_z
_atom_site_occupancy
Ta1 Ta 0.0000 0.0000 0.0000 1
Tl1 Tl 0.0000 0.0000 0.5000 1
Tl2 Tl 0.2500 0.2500 0.2500 1
Ni1 Ni 0.2500 0.2500 0.7500 1
# * uncorrected energy: -4.683 eV/atom

(3)
# TaTlNiW, optimized geometry, DFT PBE
data_TaTlNiW
_cell_length_a 6.4979
_cell_length_b 6.4979
_cell_length_c 6.4979
_cell_angle_alpha 90.00
_cell_angle_beta 90.00
_cell_angle_gamma 90.00
_space_group_name_H-M_alt 'F -4 3 m'
_space_group_IT_number 216
_space_group_name_Hall 'F -4 2 3'
loop_
_atom_site_label
_atom_site_type_symbol
_atom_site_fract_x
_atom_site_fract_y
_atom_site_fract_z
_atom_site_occupancy
Ta1 Ta 0.0000 0.0000 0.0000 1
Tl1 Tl 0.2500 0.2500 0.2500 1
Ni1 Ni 0.0000 0.0000 0.5000 1
W1 W 0.2500 0.2500 0.7500 1
# * uncorrected energy: -7.496 eV/atom

(4)
# YTaTlNi, optimized geometry, DFT PBE
data_YTaTlNi
_cell_length_a 6.8904
_cell_length_b 6.8904
_cell_length_c 6.8904
_cell_angle_alpha 90.00
_cell_angle_beta 90.00
_cell_angle_gamma 90.00
_space_group_name_H-M_alt 'F -4 3 m'
_space_group_IT_number 216
_space_group_name_Hall 'F -4 2 3'
loop_
_atom_site_label
_atom_site_type_symbol
_atom_site_fract_x
_atom_site_fract_y
_atom_site_fract_z
_atom_site_occupancy
Y1 Y 0.0000 0.0000 0.0000 1
Ta1 Ta 0.2500 0.2500 0.2500 1
Tl1 Tl 0.0000 0.0000 0.5000 1
Ni1 Ni 0.2500 0.2500 0.7500 1
# * uncorrected energy: -6.056 eV/atom

(5)
# TaTlZnNi, optimized geometry, DFT PBE
data_TaTlZnNi
_cell_length_a 6.4344
_cell_length_b 6.4344
_cell_length_c 6.4344
_cell_angle_alpha 90.00
_cell_angle_beta 90.00
_cell_angle_gamma 90.00
_space_group_name_H-M_alt 'F -4 3 m'
_space_group_IT_number 216
_space_group_name_Hall 'F -4 2 3'
loop_
_atom_site_label
_atom_site_type_symbol
_atom_site_fract_x
_atom_site_fract_y
_atom_site_fract_z
_atom_site_occupancy
Ta1 Ta 0.0000 0.0000 0.0000 1
Tl1 Tl 0.2500 0.2500 0.2500 1
Zn1 Zn 0.2500 0.2500 0.7500 1
Ni1 Ni 0.0000 0.0000 0.5000 1
# * uncorrected energy: -4.744 eV/atom

(6)
# ZrTaTlNi, optimized geometry, DFT PBE
data_ZrTaTlNi
_cell_length_a 6.7212
_cell_length_b 6.7212
_cell_length_c 6.7212
_cell_angle_alpha 90.00
_cell_angle_beta 90.00
_cell_angle_gamma 90.00
_space_group_name_H-M_alt 'F -4 3 m'
_space_group_IT_number 216
_space_group_name_Hall 'F -4 2 3'
loop_
_atom_site_label
_atom_site_type_symbol
_atom_site_fract_x
_atom_site_fract_y
_atom_site_fract_z
_atom_site_occupancy
Zr1 Zr 0.0000 0.0000 0.0000 1
Ta1 Ta 0.2500 0.2500 0.2500 1
Tl1 Tl 0.0000 0.0000 0.5000 1
Ni1 Ni 0.2500 0.2500 0.7500 1
# * uncorrected energy: -6.614 eV/atom

(7)
# TmTaNi, optimized geometry, DFT PBE
data_TmTaNi
_cell_length_a 6.2389
_cell_length_b 6.2389
_cell_length_c 6.2389
_cell_angle_alpha 90.00
_cell_angle_beta 90.00
_cell_angle_gamma 90.00
_space_group_name_H-M_alt 'F -4 3 m'
_space_group_IT_number 216
_space_group_name_Hall 'F -4 2 3'
loop_
_atom_site_label
_atom_site_type_symbol
_atom_site_fract_x
_atom_site_fract_y
_atom_site_fract_z
_atom_site_occupancy
Tm1 Tm 0.0000 0.0000 0.0000 1
Ta1 Ta 0.0000 0.0000 0.5000 1
Ni1 Ni 0.2500 0.2500 0.7500 1
# * ΔH_f (0 K): 0.3194 eV/atom

(8)
# TmTaNi, optimized geometry, DFT PBE
data_TmTaNi
_cell_length_a 6.3325
_cell_length_b 6.3325
_cell_length_c 6.3325
_cell_angle_alpha 90.00
_cell_angle_beta 90.00
_cell_angle_gamma 90.00
_space_group_name_H-M_alt 'F -4 3 m'
_space_group_IT_number 216
_space_group_name_Hall 'F -4 2 3'
loop_
_atom_site_label
_atom_site_type_symbol
_atom_site_fract_x
_atom_site_fract_y
_atom_site_fract_z
_atom_site_occupancy
Tm1 Tm 0.0000 0.0000 0.0000 1
Ta1 Ta 0.2500 0.2500 0.2500 1
Ni1 Ni 0.2500 0.2500 0.7500 1
# * ΔH_f (0 K): 1.3811 eV/atom

(9)
# TaNi6W, optimized geometry, DFT PBE
data_TaNi6W
_cell_length_a 4.2363
_cell_length_b 5.0584
_cell_length_c 4.4879
_cell_angle_alpha 90.00
_cell_angle_beta 90.00
_cell_angle_gamma 90.00
_space_group_name_H-M_alt 'P m m 2'
_space_group_IT_number 25
_space_group_name_Hall 'P 2 -2'
loop_
_atom_site_label
_atom_site_type_symbol
_atom_site_fract_x
_atom_site_fract_y
_atom_site_fract_z
_atom_site_occupancy
Ta1 Ta 0.0000 0.0000 0.0000 1
Ni1 Ni 0.0000 0.2556 0.5077 1
Ni2 Ni 0.0000 0.5000 0.0131 1
Ni3 Ni 0.5000 0.0000 0.6683 1
Ni4 Ni 0.5000 0.2533 0.1883 1
W1 W 0.5000 0.5000 0.6949 1
# * ΔH_f (0 K): -0.2398 eV/atom

(10)
# YTaZnNi, optimized geometry, DFT PBE
data_YTaZnNi
_cell_length_a 6.5938
_cell_length_b 6.5938
_cell_length_c 6.5938
_cell_angle_alpha 90.00
_cell_angle_beta 90.00
_cell_angle_gamma 90.00
_space_group_name_H-M_alt 'F -4 3 m'
_space_group_IT_number 216
_space_group_name_Hall 'F -4 2 3'
loop_
_atom_site_label
_atom_site_type_symbol
_atom_site_fract_x
_atom_site_fract_y
_atom_site_fract_z
_atom_site_occupancy
Y1 Y 0.0000 0.0000 0.0000 1
Ta1 Ta 0.2500 0.2500 0.2500 1
Zn1 Zn 0.0000 0.0000 0.5000 1
Ni1 Ni 0.2500 0.2500 0.7500 1
# * ΔH_f (0 K): 0.4196 eV/atom

(11)
# TaZnNi2, optimized geometry, DFT PBE
data_TaZnNi2
_cell_length_a 5.9467
_cell_length_b 5.9467
_cell_length_c 5.9467
_cell_angle_alpha 90.00
_cell_angle_beta 90.00
_cell_angle_gamma 90.00
_space_group_name_H-M_alt 'F -4 3 m'
_space_group_IT_number 216
_space_group_name_Hall 'F -4 2 3'
loop_
_atom_site_label
_atom_site_type_symbol
_atom_site_fract_x
_atom_site_fract_y
_atom_site_fract_z
_atom_site_occupancy
Ta1 Ta 0.0000 0.0000 0.0000 1
Zn1 Zn 0.2500 0.2500 0.7500 1
Ni1 Ni 0.0000 0.0000 0.5000 1
Ni2 Ni 0.2500 0.2500 0.2500 1
# * ΔH_f (0 K): -0.0573 eV/atom

(12)
# TaZn2Ni, optimized geometry, DFT PBE
data_TaZn2Ni
_cell_length_a 6.0762
_cell_length_b 6.0762
_cell_length_c 6.0762
_cell_angle_alpha 90.00
_cell_angle_beta 90.00
_cell_angle_gamma 90.00
_space_group_name_H-M_alt 'F -4 3 m'
_space_group_IT_number 216
_space_group_name_Hall 'F -4 2 3'
loop_
_atom_site_label
_atom_site_type_symbol
_atom_site_fract_x
_atom_site_fract_y
_atom_site_fract_z
_atom_site_occupancy
Ta1 Ta 0.0000 0.0000 0.0000 1
Zn1 Zn 0.0000 0.0000 0.5000 1
Zn2 Zn 0.2500 0.2500 0.2500 1
Ni1 Ni 0.2500 0.2500 0.7500 1
# * ΔH_f (0 K): -0.0461 eV/atom

- Which formula does entry 5 have?
  TaTlZnNi